Entry 1:
A plane-wave DFT calculation with GGA-PBE was carried out for a relaxed SiNi2Au2 crystal.

Structure (POSCAR):
```
SiNi2Au2
1.0
5.893 0.000 0.000
0.000 5.893 0.000
0.000 0.000 4.198
Si Ni Au
2 4 4
Direct
0.000 0.000 0.000 Si
0.500 0.500 0.000 Si
0.143 0.357 0.000 Ni
0.357 0.857 0.000 Ni
0.643 0.143 0.000 Ni
0.857 0.643 0.000 Ni
0.168 0.668 0.500 Au
0.332 0.168 0.500 Au
0.668 0.832 0.500 Au
0.832 0.332 0.500 Au
```

* N(E_F): 2.61 states/eV/f.u.
* raw total energy: -4.78 eV per atom
* uncorrected formation energy: -0.07 eV per atom
* V: 146 Å³ per cell
* total magnetic moment: 0.00 μB per cell

Entry 2:
A plane-wave DFT calculation with GGA-PBE was carried out for a relaxed Si4NiAu2 crystal.

Structure (POSCAR):
```
Si4NiAu2
1.0
-2.232 2.232 6.468
2.232 -2.232 6.468
2.232 2.232 -6.468
Si Ni Au
4 1 2
Direct
0.000 0.500 0.500 Si
0.178 0.178 0.000 Si
0.500 0.000 0.500 Si
0.822 0.822 0.000 Si
0.000 0.000 0.000 Ni
0.365 0.365 0.000 Au
0.635 0.635 0.000 Au
```

* N(E_F): 2.50 states/eV/f.u.
* raw total energy: -4.46 eV per atom
* uncorrected formation energy: 0.40 eV per atom
* V: 129 Å³ per cell
* total magnetic moment: 0.00 μB per cell

Entry 3:
A plane-wave DFT calculation with GGA-PBE was carried out for a relaxed SiNiAu crystal.

Structure (POSCAR):
```
SiNiAu
1.0
0.000 2.163 4.503
2.154 0.000 4.503
2.154 2.163 0.000
Si Ni Au
1 1 1
Direct
0.000 0.000 0.000 Si
0.395 0.395 0.605 Ni
0.696 0.696 0.304 Au
```

* N(E_F): 0.86 states/eV/f.u.
* raw total energy: -4.93 eV per atom
* uncorrected formation energy: -0.10 eV per atom
* V: 42 Å³ per cell
* total magnetic moment: 0.00 μB per cell